Mg2TlCd | PBE | optimized geometry

Unit cell a=5.289 b=3.309 c=5.323 alpha=90.01 beta=90.00 gamma=90.00
Positions (direct):
Mg1 0.500 0.125 0.332
Tl1 0.000 0.626 0.414
Mg2 0.000 0.125 0.913
Cd1 0.500 0.624 0.840

Calculated values
Formation enthalpy at 0 K, meV/atom: -60
SG: Pm